1.
Density functional theory data (SCAN) for ZrScIn2Os at its PBEsol-relaxed geometry.

The structure in POSCAR format:
```
ZrScIn2Os
1.0
4.5816 0.0000 0.0000
0.0000 5.1169 0.0000
0.0000 0.0000 5.1169
Sc Os Zr In
1 1 1 2
Direct
0.0000 0.0000 0.0000
0.5000 0.5000 0.5000
0.5000 0.0000 0.0000
0.0000 0.0000 0.5000
0.0000 0.5000 0.0000
```

Calculated values
Final energy = -34.99 eV per atom
M_tot = 3.0 Bohr magnetons per cell
SG = P4/mmm, No. 123
ΔE_f = 1.727 eV/atom

---

2.
Density functional theory data (SCAN) for Ba2CaCuSb2F14 at its PBEsol-relaxed geometry.

The structure in POSCAR format:
```
Ba2CaCuSb2F14
1.0
-4.2580 -2.2335 2.3159
-0.7565 0.0711 -7.4718
7.3074 -14.5816 -0.6277
Ba Ca Cu Sb F
4 2 2 4 28
Direct
0.2599 0.3575 0.6175
0.0976 0.3575 0.1175
0.7401 0.6425 0.3825
0.9024 0.6425 0.8825
0.5426 0.0000 0.7500
0.4574 0.0000 0.2500
0.5000 0.0000 0.0000
0.5000 0.0000 0.5000
0.1487 0.2273 0.8753
0.8513 0.7727 0.1247
0.0786 0.2273 0.3753
0.9214 0.7727 0.6247
0.1056 0.9609 0.3321
0.4133 0.3023 0.4598
0.5867 0.6977 0.5402
0.8308 0.4746 0.6212
0.4144 0.0506 0.6115
0.3638 0.9494 0.8885
0.8890 0.3023 0.9598
0.1447 0.0391 0.1679
0.9085 0.3091 0.7978
0.1692 0.5254 0.3788
0.3714 0.2381 0.7612
0.3562 0.5254 0.8788
0.8667 0.2381 0.2612
0.6286 0.7619 0.2388
0.6362 0.0506 0.1115
0.0915 0.6909 0.2022
0.7004 0.8402 0.9853
0.8944 0.0391 0.6679
0.2996 0.1598 0.0147
0.1398 0.8402 0.4853
0.1110 0.6977 0.0402
0.1333 0.7619 0.7388
0.4006 0.3091 0.2978
0.8602 0.1598 0.5147
0.5856 0.9494 0.3885
0.8553 0.9609 0.8321
0.5994 0.6909 0.7022
0.6438 0.4746 0.1212
```

Calculated values
Final energy = -14.49 eV per atom
M_tot = 2.1 Bohr magnetons per cell
Formation energy without anion corrections = -298.2 kJ per mole of atoms
SG = C2/c, No. 15

---

3.
Density functional theory data (SCAN) for TmB2C at its PBEsol-relaxed geometry.

The structure in POSCAR format:
```
TmB2C
1.0
6.7250 0.0000 0.0000
0.0000 6.7250 0.0000
0.0000 0.0000 7.1675
Tm B C
8 16 8
Direct
0.3093 0.8093 0.7500
0.1907 0.3093 0.2500
0.8093 0.6907 0.2500
0.6907 0.1907 0.7500
0.6907 0.1907 0.2500
0.8093 0.6907 0.7500
0.1907 0.3093 0.7500
0.3093 0.8093 0.2500
0.1519 0.0340 0.0000
0.5340 0.6519 0.5000
0.8481 0.9660 0.0000
0.3481 0.5340 0.0000
0.6519 0.4660 0.0000
0.0340 0.8481 0.5000
0.9660 0.1519 0.5000
0.4660 0.3481 0.5000
0.0968 0.5933 0.0000
0.4067 0.0968 0.5000
0.5933 0.9032 0.5000
0.5968 0.9067 0.0000
0.4032 0.0933 0.0000
0.9032 0.4067 0.0000
0.0933 0.5968 0.5000
0.9067 0.4032 0.5000
0.1782 0.0405 0.5000
0.6782 0.4595 0.5000
0.3218 0.5405 0.5000
0.9595 0.1782 0.0000
0.0405 0.8218 0.0000
0.5405 0.6782 0.0000
0.8218 0.9595 0.5000
0.4595 0.3218 0.0000
```

Calculated values
Final energy = -19.86 eV per atom
M_tot = 0.0 Bohr magnetons per cell
SG = P4_2/mbc, No. 135
ΔE_f = -0.662 eV/atom

---

4.
Density functional theory data (SCAN) for Rb2ScInGe at its PBEsol-relaxed geometry.

The structure in POSCAR format:
```
Rb2ScInGe
1.0
-1.3471 -2.0665 -4.5233
1.1999 -6.0684 2.4151
-6.2963 -0.4220 2.0679
Sc Ge Rb In
1 1 2 1
Direct
0.5000 0.0000 0.0000
0.0000 0.0000 0.0000
0.0000 0.0000 0.5000
0.0000 0.5000 0.0000
0.5000 0.5000 0.5000
```

Calculated values
Final energy = -21.29 eV per atom
M_tot = 2.0 Bohr magnetons per cell
SG = P4/mmm, No. 123
ΔE_f = 0.348 eV/atom

---

5.
Density functional theory data (SCAN) for NbFeCoNi2 at its PBEsol-relaxed geometry.

The structure in POSCAR format:
```
NbFeCoNi2
1.0
4.1550 0.0000 0.0000
0.0000 4.1491 0.0000
0.0000 0.0000 4.1491
Ni Nb Co Fe
2 1 1 1
Direct
0.0000 0.0000 0.5000
0.0000 0.5000 0.0000
0.5000 0.5000 0.5000
0.0000 0.0000 0.0000
0.5000 0.0000 0.0000
```

Calculated values
Final energy = -19.29 eV per atom
M_tot = 7.6 Bohr magnetons per cell
SG = P4/mmm, No. 123
ΔE_f = 0.895 eV/atom

---

6.
Density functional theory data (SCAN) for Ta2CrAs at its PBEsol-relaxed geometry.

The structure in POSCAR format:
```
Ta2CrAs
1.0
3.4606 0.0000 0.0000
0.0000 4.1902 0.0000
0.0000 0.0000 4.1902
As Cr Ta
1 1 2
Direct
0.5000 0.5000 0.5000
0.5000 0.0000 0.0000
0.0000 0.0000 0.5000
0.0000 0.5000 0.0000
```

Calculated values
Final energy = -42.95 eV per atom
M_tot = 0.5 Bohr magnetons per cell
SG = P4/mmm, No. 123
ΔE_f = -0.018 eV/atom

---

7.
Density functional theory data (SCAN) for Ti4Tl2O9 at its PBEsol-relaxed geometry.

The structure in POSCAR format:
```
Ti4Tl2O9
1.0
-3.0015 -1.9923 1.0762
3.7377 -5.7645 -6.8149
5.5810 -2.8493 10.2900
Ti Tl O
8 4 18
Direct
0.2459 0.4918 0.1679
0.7541 0.5082 0.8321
0.8364 0.6729 0.3771
0.1636 0.3271 0.6229
0.8728 0.7456 0.1379
0.1272 0.2544 0.8621
0.2037 0.4074 0.3969
0.7963 0.5926 0.6031
0.5829 0.1658 0.0843
0.4171 0.8342 0.9157
0.5134 0.0267 0.3164
0.4866 0.9733 0.6836
0.7681 0.5362 0.2016
0.2319 0.4638 0.7984
0.3065 0.6131 0.3588
0.6935 0.3869 0.6412
0.3461 0.6922 0.1446
0.6539 0.3078 0.8554
0.7315 0.4629 0.4222
0.2685 0.5371 0.5778
0.9124 0.8248 0.3176
0.0876 0.1752 0.6824
0.9604 0.9208 0.1213
0.0396 0.0792 0.8787
0.1258 0.2515 0.4614
0.8742 0.7485 0.5386
0.1648 0.3297 0.2417
0.8352 0.6703 0.7583
0.1850 0.3701 0.0263
0.8150 0.6299 0.9737
```

Calculated values
Final energy = -20.49 eV per atom
M_tot = 0.0 Bohr magnetons per cell
Formation energy without anion corrections = -272.6 kJ per mole of atoms
SG = C2/m, No. 12

---

8.
Density functional theory data (SCAN) for YCuP2 at its PBEsol-relaxed geometry.

The structure in POSCAR format:
```
YCuP2
1.0
3.6871 0.0000 0.0000
0.0000 4.1924 0.0261
0.0000 -0.0231 4.1924
Cu P Y
1 2 1
Direct
0.5000 0.5000 0.5000
0.0000 0.5000 0.0000
0.0000 0.0000 0.5000
0.5000 0.0000 0.0000
```

Calculated values
Final energy = -16.45 eV per atom
M_tot = 0.0 Bohr magnetons per cell
SG = P4/mmm, No. 123
ΔE_f = -0.492 eV/atom

---

9.
Density functional theory data (SCAN) for Er6MnBi2 at its PBEsol-relaxed geometry.

The structure in POSCAR format:
```
Er6MnBi2
1.0
4.1521 0.0000 0.0000
0.0000 8.1061 0.0000
0.0000 -4.0530 7.0201
Er Mn Bi
6 1 2
Direct
0.0000 0.7685 0.7685
0.5000 0.0000 0.6101
0.5000 0.6101 0.0000
0.0000 0.2315 0.0000
0.0000 0.0000 0.2315
0.5000 0.3899 0.3899
0.5000 0.0000 0.0000
0.0000 0.6667 0.3333
0.0000 0.3333 0.6667
```

Calculated values
Final energy = -53.57 eV per atom
M_tot = 0.2 Bohr magnetons per cell
SG = P-62m, No. 189
ΔE_f = -0.517 eV/atom

---

10.
Density functional theory data (SCAN) for BeP2AuS at its PBEsol-relaxed geometry.

The structure in POSCAR format:
```
BeP2AuS
1.0
-4.4425 -1.3768 -0.6629
1.3734 -4.4910 0.1234
-0.6943 -0.0799 4.8190
P S Au Be
2 1 1 1
Direct
0.0000 0.5000 0.0000
0.5000 0.0000 0.0000
0.0000 0.0000 0.5000
0.0000 0.0000 0.0000
0.5000 0.5000 0.5000
```

Calculated values
Final energy = -19.36 eV per atom
M_tot = 1.8 Bohr magnetons per cell
Formation energy without anion corrections = 138.1 kJ per mole of atoms
SG = P4/mmm, No. 123

---

11.
Density functional theory data (SCAN) for HgPdS3 at its PBEsol-relaxed geometry.

The structure in POSCAR format:
```
HgPdS3
1.0
-3.0172 -2.7930 2.1646
0.8088 -3.3166 -3.1520
3.4398 -1.6699 2.6398
S Hg Pd
3 1 1
Direct
0.0000 0.5000 0.0000
0.0000 0.0000 0.5000
0.5000 0.0000 0.0000
0.5000 0.5000 0.5000
0.0000 0.0000 0.0000
```

Calculated values
Final energy = -25.44 eV per atom
M_tot = 0.0 Bohr magnetons per cell
Formation energy without anion corrections = 50.5 kJ per mole of atoms
SG = Pm-3m, No. 221

---

12.
Density functional theory data (SCAN) for Ce3InC at its PBEsol-relaxed geometry.

The structure in POSCAR format:
```
Ce3InC
1.0
-2.3873 -2.9190 -3.1286
-0.3437 -3.4402 3.4720
-4.2650 1.9111 1.4714
Ce In C
3 1 1
Direct
0.5000 0.5000 0.0000
0.0000 0.5000 0.5000
0.5000 0.0000 0.5000
0.0000 0.0000 0.0000
0.5000 0.5000 0.5000
```

Calculated values
Final energy = -35.89 eV per atom
M_tot = 2.4 Bohr magnetons per cell
SG = Pm-3m, No. 221
ΔE_f = -0.451 eV/atom

---

13.
Density functional theory data (SCAN) for Zr2TlC at its PBEsol-relaxed geometry.

The structure in POSCAR format:
```
Zr2TlC
1.0
3.3470 0.0000 0.0000
-1.6735 2.8986 0.0000
0.0000 0.0000 14.9049
Tl C Zr
2 2 4
Direct
0.6667 0.3333 0.2500
0.3333 0.6667 0.7500
0.0000 0.0000 0.5000
0.0000 0.0000 0.0000
0.6667 0.3333 0.5820
0.3333 0.6667 0.4180
0.3333 0.6667 0.0820
0.6667 0.3333 0.9180
```

Calculated values
Final energy = -36.76 eV per atom
M_tot = 0.0 Bohr magnetons per cell
SG = P6_3/mmc, No. 194
ΔE_f = -0.792 eV/atom

---

14.
Density functional theory data (SCAN) for SbPbCl2 at its PBEsol-relaxed geometry.

The structure in POSCAR format:
```
SbPbCl2
1.0
-1.6506 2.9731 0.0097
-0.7938 -2.3073 -5.3378
-2.7017 -3.3969 3.9507
Pb Sb Cl
1 1 2
Direct
0.5000 0.0000 0.0000
0.5000 0.5000 0.5000
0.0000 0.5000 0.0000
0.0000 0.0000 0.5000
```

Calculated values
Final energy = -32.70 eV per atom
M_tot = 0.0 Bohr magnetons per cell
Formation energy without anion corrections = -43.5 kJ per mole of atoms
Relative energy among the computed polymorphs = 0.0 kJ per mole of atoms
SG = C2/m, No. 12

---

15.
Density functional theory data (SCAN) for KCoSe2Br at its PBEsol-relaxed geometry.

The structure in POSCAR format:
```
KCoSe2Br
1.0
-3.2313 -3.9874 2.2109
4.0423 -1.2251 3.6985
-2.1543 3.7379 3.5927
K Co Se Br
1 1 2 1
Direct
0.0000 0.0000 0.0000
0.5000 0.5000 0.5000
0.0000 0.0000 0.5000
0.0000 0.5000 0.0000
0.5000 0.0000 0.0000
```

Calculated values
Final energy = -15.99 eV per atom
M_tot = 5.2 Bohr magnetons per cell
Formation energy without anion corrections = 102.2 kJ per mole of atoms
SG = P4/mmm, No. 123

---

16.
Density functional theory data (SCAN) for MnO at its PBEsol-relaxed geometry.

The structure in POSCAR format:
```
MnO
1.0
-0.1341 2.6485 -2.0909
-2.8138 -1.7182 0.7312
-1.8059 6.5231 8.3787
Mn O
4 4
Direct
0.3333 0.6667 0.0293
0.0000 0.0000 0.7791
0.0000 0.0000 0.2791
0.6667 0.3333 0.5293
0.3333 0.6667 0.2202
0.0000 0.0000 0.4714
0.0000 0.0000 0.9714
0.6667 0.3333 0.7202
```

Calculated values
Final energy = -14.12 eV per atom
M_tot = 20.0 Bohr magnetons per cell
Formation energy without anion corrections = -180.8 kJ per mole of atoms
SG = P6_3mc, No. 186

---

17.
Density functional theory data (SCAN) for TlReP at its PBEsol-relaxed geometry.

The structure in POSCAR format:
```
TlReP
1.0
4.3295 0.0000 0.0000
2.1647 3.7494 0.0000
2.1647 1.2498 3.5350
P Re Tl
1 1 1
Direct
0.5000 0.5000 0.5000
0.7500 0.7500 0.7500
0.0000 0.0000 0.0000
```

Calculated values
Final energy = -50.24 eV per atom
M_tot = 0.0 Bohr magnetons per cell
SG = F-43m, No. 216
ΔE_f = 1.041 eV/atom

---

18.
Density functional theory data (SCAN) for Cd2HPtRh at its PBEsol-relaxed geometry.

The structure in POSCAR format:
```
Cd2HPtRh
1.0
-0.7060 2.6508 1.4044
-1.6169 -2.5766 4.0505
4.6581 0.1911 1.9811
H Rh Pt Cd
1 1 1 2
Direct
0.5000 0.0000 0.0000
0.0000 0.0000 0.0000
0.5000 0.5000 0.5000
0.0000 0.0000 0.5000
0.0000 0.5000 0.0000
```

Calculated values
Final energy = -33.44 eV per atom
M_tot = 0.0 Bohr magnetons per cell
SG = P4/mmm, No. 123

---

19.
Density functional theory data (SCAN) for NaCo2CuRh at its PBEsol-relaxed geometry.

The structure in POSCAR format:
```
NaCo2CuRh
1.0
4.1439 0.0000 0.0000
0.0000 4.2003 0.0000
0.0000 0.0000 4.2003
Co Rh Cu Na
2 1 1 1
Direct
0.0000 0.0000 0.5000
0.0000 0.5000 0.0000
0.5000 0.5000 0.5000
0.5000 0.0000 0.0000
0.0000 0.0000 0.0000
```

Calculated values
Final energy = -15.86 eV per atom
M_tot = 4.6 Bohr magnetons per cell
SG = P4/mmm, No. 123
ΔE_f = 1.701 eV/atom

---

20.
Density functional theory data (SCAN) for CsTe2PdN at its PBEsol-relaxed geometry.

The structure in POSCAR format:
```
CsTe2PdN
1.0
3.6298 0.0000 0.0000
0.0000 6.0943 0.0000
0.0000 0.0000 6.0943
Cs Te Pd N
1 2 1 1
Direct
0.5000 0.5000 0.5000
0.0000 0.0000 0.5000
0.0000 0.5000 0.0000
0.0000 0.0000 0.0000
0.5000 0.0000 0.0000
```

Calculated values
Final energy = -30.60 eV per atom
M_tot = 0.0 Bohr magnetons per cell
Formation energy without anion corrections = 27.0 kJ per mole of atoms
SG = P4/mmm, No. 123

---

21.
Density functional theory data (SCAN) for LaSb3 at its PBEsol-relaxed geometry.

The structure in POSCAR format:
```
LaSb3
1.0
5.8581 0.0000 0.0000
0.0000 6.5723 0.0000
0.0000 -3.2862 5.6918
Sb La
6 2
Direct
0.7500 0.1721 0.8279
0.7500 0.6557 0.8279
0.7500 0.1721 0.3443
0.2500 0.8279 0.1721
0.2500 0.3443 0.1721
0.2500 0.8279 0.6557
0.7500 0.6667 0.3333
0.2500 0.3333 0.6667
```

Calculated values
Final energy = -39.36 eV per atom
M_tot = 0.0 Bohr magnetons per cell
Formation energy without anion corrections = -61.6 kJ per mole of atoms
SG = P6_3/mmc, No. 194

---

22.
Density functional theory data (SCAN) for LaCu4Ag at its PBEsol-relaxed geometry.

The structure in POSCAR format:
```
LaCu4Ag
1.0
5.0744 0.0000 0.0000
2.5372 4.3945 0.0000
2.5372 1.4648 4.1432
Ag Cu La
1 4 1
Direct
0.0000 0.0000 0.0000
0.3730 0.3730 0.3730
0.3730 0.3730 0.8809
0.8809 0.3730 0.3730
0.3730 0.8809 0.3730
0.7500 0.7500 0.7500
```

Calculated values
Final energy = -22.71 eV per atom
M_tot = 0.0 Bohr magnetons per cell
SG = F-43m, No. 216
ΔE_f = -0.161 eV/atom

---

23.
Density functional theory data (SCAN) for MgCd2Ag at its PBEsol-relaxed geometry.

The structure in POSCAR format:
```
MgCd2Ag
1.0
-0.5305 4.1227 -1.4680
-4.1191 -0.9698 -1.2351
1.0108 -0.4891 4.8800
Mg Ag Cd
1 1 2
Direct
0.5000 0.5000 0.0000
0.2500 0.7500 0.5000
0.0000 0.0000 0.0000
0.7500 0.2500 0.5000
```

Calculated values
Final energy = -24.41 eV per atom
M_tot = 0.0 Bohr magnetons per cell
Relative energy among the computed polymorphs = 0.6 kJ per mole of atoms
SG = I-4m2, No. 119
ΔE_f = -0.121 eV/atom